Material: Zr2H4Ru
Method: DFT, PBE
State: optimized geometry

Summary:
- total moment (μB per formula unit) = 0.0
- E_tot (eV per atom) = -5.992

a = 5.588 Å, b = 4.240 Å, c = 6.792 Å
α = 90.00°, β = 113.94°, γ = 90.00°
Space group P2_1/m (No. 11)
Unique sites:
Zr: 0.207 0.250 0.430
Zr: 0.277 0.750 0.072
H: 0.193 0.250 0.083
H: 0.344 0.523 0.753
H: 0.378 0.750 0.409
Ru: 0.138 0.250 0.794

=====

Material: Ta2CrCl
Method: DFT, PBE
State: optimized geometry

Summary:
- total moment (μB per formula unit) = 2.8
- energy relative to the elements, uncorrected (kJ/mol of atoms) = 57.3
- E_tot (eV per atom) = -8.200
- excess energy over the best structure of this formula in the dataset (meV per atom) = 616

a = 2.923 Å, b = 5.005 Å, c = 9.437 Å
α = 90.00°, β = 90.00°, γ = 90.00°
Space group Immm (No. 71)
Unique sites:
Ta: 0.000 0.000 0.226
Cr: 0.000 0.500 0.000
Cl: 0.000 0.500 0.500

=====

Material: PrScCd14
Method: DFT, PBE
State: optimized geometry

Summary:
- total moment (μB per formula unit) = 0.0
- E_tot (eV per atom) = -1.618
- DFT formation energy (eV/atom) = -0.12

a = 6.607 Å, b = 6.607 Å, c = 8.456 Å
α = 90.00°, β = 90.00°, γ = 90.00°
Space group P4/mmm (No. 123)
Unique sites:
Pr: 0.000 0.000 0.000
Sc: 0.500 0.500 0.000
Cd: 0.000 0.000 0.500
Cd: 0.000 0.500 0.000
Cd: 0.000 0.500 0.500
Cd: 0.258 0.258 0.256
Cd: 0.500 0.500 0.500